# 1
! Sm2AlGa2Ni5 | the Alexandria database | GGA-PBE | optimized geometry; values from VASP
! **Space-group type**: P4/mbm, No. 127
! **Energy of formation**: -3.553 eV/f.u.
! **Total magnetic moment**: 0.00 Bohr magnetons per cell
&SYSTEM
  ibrav = 0, nat = 20, ntyp = 4
/
ATOMIC_SPECIES
Sm 150.36 Sm.upf
Al 26.98 Al.upf
Ga 69.72 Ga.upf
Ni 58.69 Ni.upf
CELL_PARAMETERS angstrom
9.919 0.000 0.000
0.000 9.919 0.000
0.000 0.000 3.212
ATOMIC_POSITIONS crystal
Sm 0.176 0.324 0.000
Sm 0.324 0.824 0.000
Sm 0.676 0.176 0.000
Sm 0.824 0.676 0.000
Al 0.000 0.000 0.000
Al 0.500 0.500 0.000
Ga 0.125 0.625 0.000
Ga 0.375 0.125 0.000
Ga 0.625 0.875 0.000
Ga 0.875 0.375 0.000
Ni 0.000 0.500 0.500
Ni 0.051 0.804 0.500
Ni 0.196 0.051 0.500
Ni 0.304 0.551 0.500
Ni 0.449 0.304 0.500
Ni 0.500 0.000 0.500
Ni 0.551 0.696 0.500
Ni 0.696 0.449 0.500
Ni 0.804 0.949 0.500
Ni 0.949 0.196 0.500

---

# 2
! Nb4OsW2 | the Alexandria database | GGA-PBE | optimized geometry; values from VASP
! **Polymorph energy (0 for the lowest one)**: 0.572 eV/atom
! **Space-group type**: Cmmm, No. 65
! **Energy of formation**: 5.129 eV/f.u.
! **Total magnetic moment**: 0.00 Bohr magnetons per cell
&SYSTEM
  ibrav = 0, nat = 14, ntyp = 3
/
ATOMIC_SPECIES
Nb 92.91 Nb.upf
Os 190.23 Os.upf
W 183.84 W.upf
CELL_PARAMETERS angstrom
3.113 0.000 0.000
0.000 18.405 0.000
0.000 0.000 4.920
ATOMIC_POSITIONS crystal
Nb 0.000 0.117 0.000
Nb 0.000 0.184 0.500
Nb 0.000 0.816 0.500
Nb 0.000 0.883 0.000
Nb 0.500 0.316 0.500
Nb 0.500 0.383 0.000
Nb 0.500 0.617 0.000
Nb 0.500 0.684 0.500
Os 0.000 0.500 0.000
Os 0.500 0.000 0.000
W 0.000 0.430 0.500
W 0.000 0.570 0.500
W 0.500 0.070 0.500
W 0.500 0.930 0.500

---

# 3
! Y3HgO | the Alexandria database | GGA-PBE | optimized geometry; values from VASP
! **Polymorph energy (0 for the lowest one)**: 0.436 eV/atom
! **Space-group type**: Fd-3m, No. 227
! **Formation energy (no corrections)**: -0.965 eV/atom
! **Total magnetic moment**: 6.00 Bohr magnetons per cell
&SYSTEM
  ibrav = 0, nat = 20, ntyp = 3
/
ATOMIC_SPECIES
Y 88.91 Y.upf
Hg 200.59 Hg.upf
O 16.00 O.upf
CELL_PARAMETERS angstrom
0.000 6.416 6.416
6.416 0.000 6.416
6.416 6.416 0.000
ATOMIC_POSITIONS crystal
Y 0.064 0.064 0.686
Y 0.064 0.686 0.064
Y 0.064 0.686 0.686
Y 0.314 0.314 0.936
Y 0.314 0.936 0.314
Y 0.314 0.936 0.936
Y 0.686 0.064 0.064
Y 0.686 0.064 0.686
Y 0.686 0.686 0.064
Y 0.936 0.314 0.314
Y 0.936 0.314 0.936
Y 0.936 0.936 0.314
Hg 0.000 0.500 0.500
Hg 0.500 0.000 0.500
Hg 0.500 0.500 0.000
Hg 0.500 0.500 0.500
O 0.000 0.000 0.000
O 0.000 0.000 0.500
O 0.000 0.500 0.000
O 0.500 0.000 0.000

---

# 4
! Rb2Cr2Ag | the Alexandria database | GGA-PBE | optimized geometry; values from VASP
! **Polymorph energy (0 for the lowest one)**: 0.279 eV/atom
! **Space-group type**: P4/mbm, No. 127
! **Energy of formation**: 5.929 eV/f.u.
! **Total magnetic moment**: 0.00 Bohr magnetons per cell
&SYSTEM
  ibrav = 0, nat = 10, ntyp = 3
/
ATOMIC_SPECIES
Rb 85.47 Rb.upf
Cr 52.00 Cr.upf
Ag 107.87 Ag.upf
CELL_PARAMETERS angstrom
10.587 0.000 0.000
0.000 10.587 0.000
0.000 0.000 3.165
ATOMIC_POSITIONS crystal
Rb 0.218 0.282 0.000
Rb 0.282 0.782 0.000
Rb 0.718 0.218 0.000
Rb 0.782 0.718 0.000
Cr 0.058 0.558 0.500
Cr 0.442 0.058 0.500
Cr 0.558 0.942 0.500
Cr 0.942 0.442 0.500
Ag 0.000 0.000 0.000
Ag 0.500 0.500 0.000

---

# 5
! Ho2ZrScS4 | the Alexandria database | GGA-PBE | optimized geometry; values from VASP
! **Space-group type**: P2/m, No. 10
! **Formation energy (no corrections)**: -1.791 eV/atom
! **Total magnetic moment**: 0.00 Bohr magnetons per cell
&SYSTEM
  ibrav = 0, nat = 8, ntyp = 4
/
ATOMIC_SPECIES
Ho 164.93 Ho.upf
Zr 91.22 Zr.upf
Sc 44.96 Sc.upf
S 32.06 S.upf
CELL_PARAMETERS angstrom
6.540 0.000 0.000
0.000 3.797 0.000
-2.220 0.000 6.205
ATOMIC_POSITIONS crystal
Ho 0.000 0.000 0.000
Ho 0.000 0.500 0.500
Zr 0.500 0.000 0.500
Sc 0.500 0.500 0.000
S 0.260 0.500 0.250
S 0.263 0.000 0.757
S 0.737 0.000 0.243
S 0.740 0.500 0.750

---

# 6
! LaGa5Pt3 | the Alexandria database | GGA-PBE | optimized geometry; values from VASP
! **Space-group type**: Cmcm, No. 63
! **Energy of formation**: -6.418 eV/f.u.
! **Total magnetic moment**: 0.00 Bohr magnetons per cell
&SYSTEM
  ibrav = 0, nat = 18, ntyp = 3
/
ATOMIC_SPECIES
La 138.91 La.upf
Ga 69.72 Ga.upf
Pt 195.08 Pt.upf
CELL_PARAMETERS angstrom
2.057 -6.535 0.000
2.057 6.535 0.000
0.000 0.000 12.797
ATOMIC_POSITIONS crystal
La 0.169 0.831 0.750
La 0.831 0.169 0.250
Ga 0.000 0.000 0.000
Ga 0.000 0.000 0.500
Ga 0.200 0.800 0.064
Ga 0.200 0.800 0.436
Ga 0.445 0.555 0.652
Ga 0.445 0.555 0.848
Ga 0.555 0.445 0.152
Ga 0.555 0.445 0.348
Ga 0.800 0.200 0.564
Ga 0.800 0.200 0.936
Pt 0.130 0.870 0.250
Pt 0.389 0.611 0.046
Pt 0.389 0.611 0.454
Pt 0.611 0.389 0.546
Pt 0.611 0.389 0.954
Pt 0.870 0.130 0.750

---

# 7
! NdLuCoCu | the Alexandria database | GGA-PBE | optimized geometry; values from VASP
! **Space-group type**: F-43m, No. 216
! **Energy of formation**: -0.548 eV/f.u.
! **Total magnetic moment**: 1.73 Bohr magnetons per cell
&SYSTEM
  ibrav = 0, nat = 16, ntyp = 4
/
ATOMIC_SPECIES
Nd 144.24 Nd.upf
Lu 174.97 Lu.upf
Co 58.93 Co.upf
Cu 63.55 Cu.upf
CELL_PARAMETERS angstrom
6.857 0.000 0.000
0.000 6.857 0.000
0.000 0.000 6.857
ATOMIC_POSITIONS crystal
Nd 0.000 0.000 0.000
Nd 0.000 0.500 0.500
Nd 0.500 0.000 0.500
Nd 0.500 0.500 0.000
Lu 0.000 0.000 0.500
Lu 0.000 0.500 0.000
Lu 0.500 0.000 0.000
Lu 0.500 0.500 0.500
Co 0.250 0.250 0.750
Co 0.250 0.750 0.250
Co 0.750 0.250 0.250
Co 0.750 0.750 0.750
Cu 0.250 0.250 0.250
Cu 0.250 0.750 0.750
Cu 0.750 0.250 0.750
Cu 0.750 0.750 0.250

---

# 8
! K2SbI4 | the Alexandria database | GGA-PBE | optimized geometry; values from VASP
! **Polymorph energy (0 for the lowest one)**: 0.000 eV/atom
! **Space-group type**: I4/mmm, No. 139
! **Formation energy (no corrections)**: -0.867 eV/atom
! **Total magnetic moment**: 2.00 Bohr magnetons per cell
&SYSTEM
  ibrav = 0, nat = 14, ntyp = 3
/
ATOMIC_SPECIES
K 39.10 K.upf
Sb 121.76 Sb.upf
I 126.90 I.upf
CELL_PARAMETERS angstrom
8.538 0.000 0.000
0.000 8.538 0.000
0.000 0.000 9.180
ATOMIC_POSITIONS crystal
K 0.000 0.500 0.250
K 0.000 0.500 0.750
K 0.500 0.000 0.250
K 0.500 0.000 0.750
Sb 0.000 0.000 0.000
Sb 0.500 0.500 0.500
I 0.249 0.249 0.500
I 0.249 0.751 0.500
I 0.251 0.251 0.000
I 0.251 0.749 0.000
I 0.749 0.251 0.000
I 0.749 0.749 0.000
I 0.751 0.249 0.500
I 0.751 0.751 0.500

---

Question: Which of these has the highest total magnetic moment?
Answer: Y3HgO

---

Question: Among the records above, which one has the highest total magnetic moment?
Answer: Y3HgO